1.
VASP calculation (GGA-PBE) on a relaxed Pu2ReH crystal. Values from VASP.

```
&SYSTEM
  ibrav = 0, nat = 4, ntyp = 3
/
ATOMIC_SPECIES
Pu 244.00 Pu.upf
Re 186.21 Re.upf
H 1.01 H.upf
CELL_PARAMETERS angstrom
-1.948 -1.181 1.801
0.848 -1.942 1.986
1.037 5.535 7.094
ATOMIC_POSITIONS crystal
Pu 0.102 0.102 0.693
Pu 0.898 0.898 0.307
Re 0.000 0.000 0.000
H 0.500 0.500 0.500
```

Calculated values
- E_tot: -10.6784 eV/atom
- Magnetization: 9.67 μB/f.u.
- Offset from the most stable computed form: 382 meV per atom



2.
VASP calculation (GGA-PBE) on a relaxed PuReH crystal. Values from VASP.

```
&SYSTEM
  ibrav = 0, nat = 6, ntyp = 3
/
ATOMIC_SPECIES
Re 186.21 Re.upf
H 1.01 H.upf
Pu 244.00 Pu.upf
CELL_PARAMETERS angstrom
-1.744 0.702 -2.413
0.960 -2.528 -1.430
-6.948 -4.704 3.655
ATOMIC_POSITIONS crystal
Re 0.000 0.500 0.579
Re 0.500 0.000 0.421
H 0.000 0.500 0.928
H 0.500 0.000 0.072
Pu 0.500 0.000 0.819
Pu 0.000 0.500 0.181
```

Calculated values
- E_tot: -10.1246 eV/atom
- Magnetization: 4.69 μB/f.u.



3.
VASP calculation (GGA-PBE) on a relaxed Pu12H5Rh3 crystal. Values from VASP.

```
&SYSTEM
  ibrav = 0, nat = 80, ntyp = 3
/
ATOMIC_SPECIES
Pu 244.00 Pu.upf
H 1.01 H.upf
Rh 102.91 Rh.upf
CELL_PARAMETERS angstrom
11.971 0.000 0.000
-3.990 11.287 0.000
-3.990 -5.643 9.775
ATOMIC_POSITIONS crystal
Pu 0.327 0.958 0.016
Pu 0.958 0.630 0.942
Pu 0.130 0.189 0.173
Pu 0.130 0.942 0.458
Pu 0.870 0.058 0.542
Pu 0.630 0.958 0.442
Pu 0.673 0.042 0.984
Pu 0.984 0.442 0.811
Pu 0.827 0.311 0.870
Pu 0.058 0.189 0.516
Pu 0.870 0.811 0.827
Pu 0.173 0.689 0.130
Pu 0.516 0.689 0.058
Pu 0.042 0.673 0.484
Pu 0.811 0.942 0.984
Pu 0.458 0.016 0.827
Pu 0.016 0.458 0.327
Pu 0.942 0.811 0.484
Pu 0.542 0.558 0.870
Pu 0.484 0.311 0.942
Pu 0.558 0.542 0.370
Pu 0.370 0.327 0.311
Pu 0.327 0.370 0.811
Pu 0.173 0.484 0.542
Pu 0.516 0.827 0.958
Pu 0.442 0.458 0.630
Pu 0.189 0.130 0.673
Pu 0.370 0.042 0.558
Pu 0.673 0.630 0.189
Pu 0.458 0.442 0.130
Pu 0.311 0.484 0.442
Pu 0.016 0.558 0.189
Pu 0.311 0.827 0.370
Pu 0.558 0.016 0.689
Pu 0.484 0.173 0.042
Pu 0.689 0.173 0.630
Pu 0.942 0.130 0.958
Pu 0.811 0.870 0.327
Pu 0.058 0.870 0.042
Pu 0.542 0.984 0.173
Pu 0.958 0.327 0.516
Pu 0.442 0.984 0.311
Pu 0.984 0.542 0.673
Pu 0.042 0.370 0.058
Pu 0.689 0.516 0.558
Pu 0.827 0.516 0.458
Pu 0.189 0.058 0.016
Pu 0.630 0.673 0.689
H 0.500 0.000 0.000
H 0.000 0.500 0.000
H 0.375 0.125 0.750
H 0.000 0.000 0.500
H 0.000 0.000 0.000
H 0.125 0.750 0.375
H 0.750 0.625 0.375
H 0.500 0.500 0.500
H 0.250 0.875 0.125
H 0.500 0.500 0.000
H 0.500 0.000 0.500
H 0.875 0.250 0.625
H 0.625 0.750 0.875
H 0.125 0.375 0.250
H 0.250 0.375 0.625
H 0.875 0.625 0.750
H 0.750 0.125 0.875
H 0.625 0.875 0.250
H 0.000 0.500 0.500
H 0.375 0.250 0.125
Rh 0.875 0.750 0.125
Rh 0.125 0.875 0.750
Rh 0.125 0.250 0.875
Rh 0.750 0.875 0.625
Rh 0.250 0.125 0.375
Rh 0.625 0.250 0.375
Rh 0.625 0.375 0.750
Rh 0.750 0.375 0.125
Rh 0.375 0.625 0.250
Rh 0.875 0.125 0.250
Rh 0.250 0.625 0.875
Rh 0.375 0.750 0.625
```

Calculated values
- E_tot: -10.0196 eV/atom
- Magnetization: 8.85 μB/f.u.



4.
VASP calculation (GGA-PBE) on a relaxed Pu2HRh2 crystal. Values from VASP.

```
&SYSTEM
  ibrav = 0, nat = 5, ntyp = 3
/
ATOMIC_SPECIES
Pu 244.00 Pu.upf
Rh 102.91 Rh.upf
H 1.01 H.upf
CELL_PARAMETERS angstrom
3.540 0.136 -0.143
-0.191 4.859 -0.106
0.177 0.479 4.837
ATOMIC_POSITIONS crystal
Pu 0.500 0.241 0.241
Pu 0.500 0.759 0.759
Rh 0.000 0.281 0.719
Rh 0.000 0.719 0.281
H 0.000 0.000 0.000
```

Calculated values
- E_tot: -9.7594 eV/atom
- Magnetization: 10.34 μB/f.u.



5.
VASP calculation (GGA-PBE) on a relaxed PuH2Rh3 crystal. Values from VASP.

```
&SYSTEM
  ibrav = 0, nat = 6, ntyp = 3
/
ATOMIC_SPECIES
Rh 102.91 Rh.upf
H 1.01 H.upf
Pu 244.00 Pu.upf
CELL_PARAMETERS angstrom
2.832 0.000 0.000
0.000 5.407 0.000
0.000 -2.703 4.682
ATOMIC_POSITIONS crystal
Rh 0.500 0.500 0.000
Rh 0.500 0.500 0.500
Rh 0.500 0.000 0.500
H 0.000 0.333 0.667
H 0.000 0.667 0.333
Pu 0.000 0.000 0.000
```

Calculated values
- E_tot: -7.3012 eV/atom
- Magnetization: 4.50 μB/f.u.



6.
VASP calculation (GGA-PBE) on a relaxed Pu4HRh2 crystal. Values from VASP.

```
&SYSTEM
  ibrav = 0, nat = 7, ntyp = 3
/
ATOMIC_SPECIES
Pu 244.00 Pu.upf
Rh 102.91 Rh.upf
H 1.01 H.upf
CELL_PARAMETERS angstrom
4.256 0.000 0.000
0.000 4.256 0.000
-2.128 -2.128 7.790
ATOMIC_POSITIONS crystal
Pu 0.819 0.819 0.637
Pu 0.000 0.500 0.000
Pu 0.181 0.181 0.363
Pu 0.500 0.000 0.000
Rh 0.353 0.353 0.707
Rh 0.647 0.647 0.293
H 0.000 0.000 0.000
```

Calculated values
- E_tot: -10.9377 eV/atom
- Magnetization: 0.84 μB/f.u.



7.
VASP calculation (GGA-PBE) on a relaxed PuH4Rh3 crystal. Values from VASP.

```
&SYSTEM
  ibrav = 0, nat = 8, ntyp = 3
/
ATOMIC_SPECIES
Pu 244.00 Pu.upf
Rh 102.91 Rh.upf
H 1.01 H.upf
CELL_PARAMETERS angstrom
3.959 0.003 -1.755
-0.781 3.881 -1.755
-0.100 -0.122 5.118
ATOMIC_POSITIONS crystal
Pu 0.000 0.000 0.000
Rh 0.750 0.250 0.500
Rh 0.500 0.500 0.000
Rh 0.250 0.750 0.500
H 0.715 0.715 0.430
H 0.285 0.285 0.570
H 0.500 0.000 0.000
H 0.000 0.500 0.000
```

Calculated values
- E_tot: -6.3797 eV/atom
- Magnetization: 3.98 μB/f.u.



8.
VASP calculation (GGA-PBE) on a relaxed Pu3H12Rh5 crystal. Values from VASP.

```
&SYSTEM
  ibrav = 0, nat = 80, ntyp = 3
/
ATOMIC_SPECIES
Pu 244.00 Pu.upf
H 1.01 H.upf
Rh 102.91 Rh.upf
CELL_PARAMETERS angstrom
-8.797 -4.602 -1.904
6.681 -2.392 -7.200
3.506 -3.019 8.988
ATOMIC_POSITIONS crystal
Pu 0.750 0.875 0.625
Pu 0.250 0.125 0.375
Pu 0.750 0.375 0.125
Pu 0.375 0.750 0.625
Pu 0.250 0.625 0.875
Pu 0.125 0.875 0.750
Pu 0.625 0.375 0.750
Pu 0.875 0.125 0.250
Pu 0.375 0.625 0.250
Pu 0.625 0.250 0.375
Pu 0.125 0.250 0.875
Pu 0.875 0.750 0.125
H 0.090 0.916 0.401
H 0.910 0.826 0.811
H 0.099 0.410 0.084
H 0.590 0.901 0.416
H 0.599 0.015 0.189
H 0.311 0.901 0.985
H 0.599 0.584 0.910
H 0.485 0.674 0.084
H 0.689 0.099 0.015
H 0.174 0.090 0.689
H 0.174 0.084 0.985
H 0.674 0.485 0.584
H 0.099 0.689 0.515
H 0.811 0.326 0.910
H 0.916 0.826 0.515
H 0.584 0.985 0.674
H 0.985 0.584 0.174
H 0.084 0.174 0.485
H 0.590 0.689 0.674
H 0.910 0.084 0.599
H 0.326 0.811 0.410
H 0.515 0.189 0.099
H 0.811 0.485 0.401
H 0.326 0.515 0.416
H 0.090 0.174 0.189
H 0.826 0.916 0.015
H 0.189 0.515 0.599
H 0.410 0.311 0.326
H 0.515 0.326 0.916
H 0.311 0.410 0.826
H 0.084 0.910 0.099
H 0.826 0.910 0.311
H 0.015 0.416 0.826
H 0.901 0.311 0.485
H 0.401 0.416 0.090
H 0.689 0.590 0.174
H 0.485 0.811 0.901
H 0.015 0.599 0.689
H 0.584 0.599 0.410
H 0.901 0.590 0.916
H 0.410 0.099 0.584
H 0.916 0.090 0.901
H 0.416 0.401 0.590
H 0.189 0.674 0.090
H 0.674 0.189 0.590
H 0.401 0.985 0.811
H 0.416 0.015 0.326
H 0.985 0.401 0.311
Rh 0.000 0.000 0.500
Rh 0.500 0.000 0.500
Rh 0.750 0.625 0.375
Rh 0.000 0.000 0.000
Rh 0.375 0.125 0.750
Rh 0.125 0.750 0.375
Rh 0.625 0.875 0.250
Rh 0.500 0.000 0.000
Rh 0.375 0.250 0.125
Rh 0.625 0.750 0.875
Rh 0.500 0.500 0.500
Rh 0.000 0.500 0.500
Rh 0.875 0.625 0.750
Rh 0.750 0.125 0.875
Rh 0.000 0.500 0.000
Rh 0.125 0.375 0.250
Rh 0.250 0.875 0.125
Rh 0.250 0.375 0.625
Rh 0.500 0.500 0.000
Rh 0.875 0.250 0.625
```

Calculated values
- E_tot: -6.2084 eV/atom
- Magnetization: 15.62 μB/f.u.